Material: Pm2PrSi
Method: DFT, PBE
State: relaxed

The structure in CIF format:
```
data_Pm2PrSi
_cell_length_a 7.9434
_cell_length_b 9.3316
_cell_length_c 6.4496
_cell_angle_alpha 90.00
_cell_angle_beta 90.00
_cell_angle_gamma 90.00
_symmetry_space_group_name_H-M 'P 1'
_symmetry_Int_Tables_number 1
loop_
_symmetry_equiv_pos_as_xyz
'x,y,z'
loop_
_atom_site_label
_atom_site_type_symbol
_atom_site_fract_x
_atom_site_fract_y
_atom_site_fract_z
Pm1 Pm 0.1862 0.0541 0.1304
Pm2 Pm 0.1862 0.4459 0.1304
Pm3 Pm 0.3138 0.5541 0.6304
Pm4 Pm 0.3138 0.9459 0.6304
Pm5 Pm 0.6862 0.0541 0.3696
Pm6 Pm 0.6862 0.4459 0.3696
Pm7 Pm 0.8138 0.5541 0.8696
Pm8 Pm 0.8138 0.9459 0.8696
Pr1 Pr 0.0306 0.2500 0.6296
Pr2 Pr 0.4694 0.7500 0.1296
Pr3 Pr 0.5306 0.2500 0.8704
Pr4 Pr 0.9694 0.7500 0.3704
Si1 Si 0.1180 0.7500 0.9245
Si2 Si 0.3820 0.2500 0.4245
Si3 Si 0.6180 0.7500 0.5755
Si4 Si 0.8820 0.2500 0.0755
```

Calculated values
Space-group type: Pnma (62)
Offset from the most stable computed form, eV/atom: 0.000
Total DFT energy (no corrections), eV per atom: -5.29
Formation energy (no corrections), eV per formula unit: -1.46